Entry 1:
Below is a relaxed structure of SiTcBr4, with properties calculated at the PBE level.

Its total energy is -14.1 eV per formula unit. For the volume, the calculation gives 27.5 A^3/atom. The value obtained for the uncorrected formation energy is 1403 meV/atom.

It has space group F-43m (No. 216), with a = 8.7083 Å, b = 8.7083 Å, c = 8.7083 Å, α = 90.00°, β = 90.00° and γ = 90.00°. The asymmetric unit holds Si at (0.0000, 0.0000, 0.0000), Tc at (0.2500, 0.2500, 0.7500) and Br at (0.1244, 0.1244, 0.3756).

Entry 2:
Below is a relaxed structure of KSr2Pt2, with properties calculated at the PBE level.

As for the formation energy from the elements: -300.7 meV/atom. Its total energy is -18.0 eV per formula unit. For the volume, the calculation gives 37.3 A^3/atom.

It has space group I4/mmm (No. 139), with a = 5.6078 Å, b = 5.6078 Å, c = 11.8580 Å, α = 90.00°, β = 90.00° and γ = 90.00°. The asymmetric unit holds K at (0.0000, 0.0000, 0.0000), Sr at (0.0000, 0.0000, 0.3259) and Pt at (0.0000, 0.5000, 0.2500).

Entry 3:
Below is a relaxed structure of Er5Sb2Rh, with properties calculated at the PBE level.

Its total energy is -42.6 eV per formula unit. For the volume, the calculation gives 26.5 A^3/atom. The value obtained for the uncorrected formation energy is -530 meV/atom.

It has space group Cmcm (No. 63), with a = 5.7686 Å, b = 9.2125 Å, c = 15.9308 Å, α = 90.00°, β = 90.00° and γ = 90.00°. The asymmetric unit holds Er at (0.0000, 0.0656, 0.0962), Er at (0.0000, 0.2463, 0.7500), Er at (0.0000, 0.4039, 0.1362), Sb at (0.0000, 0.2795, 0.5584) and Rh at (0.0000, 0.1584, 0.2500).

Entry 4:
Below is a relaxed structure of Mg2TeP, with properties calculated at the PBE level.

The calculation puts the excess energy over the best structure of this formula in the dataset at 318.2 meV/atom. Its total energy is -12.6 eV per formula unit. For the volume, the calculation gives 22.5 A^3/atom. The value obtained for the uncorrected formation energy is -204 meV/atom.

It has space group C2/m (No. 12), with a = 6.2655 Å, b = 7.7069 Å, c = 3.9798 Å, α = 90.00°, β = 110.33° and γ = 90.00°. The asymmetric unit holds Mg at (0.2500, 0.2500, 0.0000), Te at (0.0000, 0.0000, 0.5000) and P at (0.0000, 0.5000, 0.5000).

Entry 5:
Below is a relaxed structure of Ba2LaHfCo, with properties calculated at the PBE level.

As for the formation energy from the elements: 852.4 meV/atom. Its total energy is -21.6 eV per formula unit. For the volume, the calculation gives 38.3 A^3/atom.

It has space group P4/mmm (No. 123), with a = 6.5155 Å, b = 6.5155 Å, c = 4.5065 Å, α = 90.00°, β = 90.00° and γ = 90.00°. The asymmetric unit holds Ba at (0.0000, 0.5000, 0.0000), La at (0.0000, 0.0000, 0.5000), Hf at (0.5000, 0.5000, 0.0000) and Co at (0.5000, 0.5000, 0.5000).

Entry 6:
Below is a relaxed structure of ZrTe2PtI, with properties calculated at the PBE level.

The calculation puts the excess energy over the best structure of this formula in the dataset at 205.5 meV/atom. Its total energy is -19.9 eV per formula unit. For the volume, the calculation gives 34.6 A^3/atom. The value obtained for the uncorrected formation energy is 500 meV/atom.

It has space group P4/mmm (No. 123), with a = 5.5959 Å, b = 5.5959 Å, c = 5.5250 Å, α = 90.00°, β = 90.00° and γ = 90.00°. The asymmetric unit holds Zr at (0.0000, 0.0000, 0.0000), Te at (0.0000, 0.5000, 0.0000), Pt at (0.5000, 0.5000, 0.5000) and I at (0.0000, 0.0000, 0.5000).

Entry 7:
Below is a relaxed structure of NaCuRhN2, with properties calculated at the PBE level.

Its total energy is -16.9 eV per formula unit. For the volume, the calculation gives 13.9 A^3/atom. The value obtained for the uncorrected formation energy is 2495 meV/atom.

It has space group P4/mmm (No. 123), with a = 4.0665 Å, b = 4.0665 Å, c = 4.2031 Å, α = 90.00°, β = 90.00° and γ = 90.00°. The asymmetric unit holds Na at (0.0000, 0.0000, 0.0000), Cu at (0.0000, 0.0000, 0.5000), Rh at (0.5000, 0.5000, 0.5000) and N at (0.0000, 0.5000, 0.0000).

Entry 8:
Below is a relaxed structure of NaLaTh2Se4, with properties calculated at the PBE level.

Its total energy is -48.0 eV per formula unit. For the volume, the calculation gives 26.9 A^3/atom. The value obtained for the uncorrected formation energy is -1622 meV/atom.

It has space group P2/m (No. 10), with a = 7.2497 Å, b = 4.1848 Å, c = 7.4875 Å, α = 90.00°, β = 108.61° and γ = 90.00°. The asymmetric unit holds Na at (0.0000, 0.0000, 0.0000), La at (0.5000, 0.5000, 0.0000), Th at (0.0000, 0.5000, 0.5000), Th at (0.5000, 0.0000, 0.5000), Se at (0.2421, 0.0000, 0.7501) and Se at (0.2450, 0.5000, 0.2504).

Entry 9:
Below is a relaxed structure of Rb3NiCl5, with properties calculated at the PBE level.

Its total energy is -31.1 eV per formula unit. For the volume, the calculation gives 32.1 A^3/atom. The value obtained for the uncorrected formation energy is -1468 meV/atom.

It has space group I4/mcm (No. 140), with a = 8.9044 Å, b = 8.9044 Å, c = 14.5681 Å, α = 90.00°, β = 90.00° and γ = 90.00°. The asymmetric unit holds Rb at (0.0000, 0.0000, 0.2500), Rb at (0.1665, 0.3335, 0.0000), Ni at (0.0000, 0.5000, 0.2500), Cl at (0.0000, 0.0000, 0.0000) and Cl at (0.1359, 0.3641, 0.3494).

Entry 10:
Below is a relaxed structure of Zn2SeBr, with properties calculated at the PBE level.

The calculation puts the excess energy over the best structure of this formula in the dataset at 134.0 meV/atom. Its total energy is -8.6 eV per formula unit. For the volume, the calculation gives 27.3 A^3/atom. The value obtained for the uncorrected formation energy is -227 meV/atom.

It has space group Immm (No. 71), with a = 3.7586 Å, b = 7.3863 Å, c = 7.8778 Å, α = 90.00°, β = 90.00° and γ = 90.00°. The asymmetric unit holds Zn at (0.0000, 0.2283, 0.0000), Se at (0.0000, 0.5000, 0.5000) and Br at (0.0000, 0.0000, 0.5000).

Entry 11:
Below is a relaxed structure of SrTl6Hg12, with properties calculated at the PBE level.

The calculation puts the excess energy over the best structure of this formula in the dataset at 0.0 meV/atom. As for the formation energy from the elements: -61.8 meV/atom. Its total energy is -20.7 eV per formula unit. For the volume, the calculation gives 30.2 A^3/atom.

It has space group R-3 (No. 148, hexagonal axes), with a = 14.4794 Å, b = 14.4794 Å, c = 9.4724 Å, α = 90.00°, β = 90.00° and γ = 120.00°. The asymmetric unit holds Sr at (0.0000, 0.0000, 0.0000), Tl at (0.0294, 0.2302, 0.7515), Hg at (0.0273, 0.2028, 0.4142) and Hg at (0.0506, 0.2444, 0.0930).

Entry 12:
Below is a relaxed structure of ScSn2HI, with properties calculated at the PBE level.

Its total energy is -19.3 eV per formula unit. For the volume, the calculation gives 23.7 A^3/atom.

It has space group P4/mmm (No. 123), with a = 5.7613 Å, b = 5.7613 Å, c = 3.5692 Å, α = 90.00°, β = 90.00° and γ = 90.00°. The asymmetric unit holds Sc at (0.0000, 0.0000, 0.0000), Sn at (0.0000, 0.5000, 0.5000), H at (0.0000, 0.0000, 0.5000) and I at (0.5000, 0.5000, 0.0000).